First-principles (PBE) data for a relaxed Sc2TcW crystal, as listed in Alexandria.

Output
N(E_F) in states/eV/atom: 1.381
E_form in eV per atom: 0.695
E above lowest polymorph in eV/atom: 0.7926

a = 5.911 Å, b = 5.911 Å, c = 5.911 Å
α = 102.54°, β = 102.54°, γ = 124.45°
Sites, in units of the cell vectors:
Sc (0.102, 0.625, 0.977)
Sc (0.375, 0.352, 0.477)
Sc (0.648, 0.125, 0.023)
Sc (0.875, 0.898, 0.523)
Tc (0.000, 0.000, 0.000)
Tc (0.750, 0.250, 0.500)
W (0.250, 0.750, 0.500)
W (0.500, 0.500, 0.000)



First-principles (PBE) data for a relaxed Sc2TcW2 crystal, as listed in Alexandria.

Output
N(E_F) in states/eV/atom: 1.380
E_form in eV per atom: 1.103
E above lowest polymorph in eV/atom: 0.8657

a = 7.433 Å, b = 7.433 Å, c = 7.433 Å
α = 151.35°, β = 151.35°, γ = 40.96°
Sites, in units of the cell vectors:
Sc (0.250, 0.750, 0.500)
Sc (0.750, 0.250, 0.500)
Tc (0.000, 0.000, 0.000)
W (0.416, 0.416, 0.000)
W (0.584, 0.584, 0.000)



Q: The lowest E above lowest polymorph belongs to which entry?
A: Sc2TcW



Q: Which of these has the lowest N(E_F)?
A: Sc2TcW2



Q: What is the E_form in the first record?
A: 0.695 eV per atom